## NaMo2PdO8 (GGA+U)

Data for crystalline NaMo2PdO8 at its relaxed geometry.

Unit cell a=5.837 b=5.837 c=6.513 alpha=90.00 beta=90.00 gamma=120.00
Sites, in units of the cell vectors:
Na 0.000 0.000 0.500
Mo 0.667 0.333 0.275
Mo 0.333 0.667 0.725
Pd 0.000 0.000 0.000
O 0.840 0.160 0.199
O 0.840 0.679 0.199
O 0.321 0.160 0.199
O 0.679 0.840 0.801
O 0.333 0.667 0.457
O 0.667 0.333 0.543
O 0.160 0.840 0.801
O 0.160 0.321 0.801

For the total magnetization, the calculation gives 0.0838 μB per atom. For the final energy, the calculation gives -6.3153 eV per atom.